# SrTaSn3

A relaxed structure of SrTaSn3 (PBE, Alexandria via LeMat-Bulk).

Computed properties:
polymorph energy (0 for the lowest one): 1903.3 meV/atom
ρ: 5.703 g/cm3
size of the total moment: 0.00 μB/f.u.
calculated volume: 36.380 A^3/atom
DOS at the Fermi energy: 10.23 states/eV/cell
final energy: -0.11930 Ha/atom

Lattice parameters (Å, degrees): 5.6660 5.6660 5.6660 90.00 90.00 90.00
Element x y z (fractional)
Sr: 0.0000 0.0000 0.0000
Ta: 0.5000 0.5000 0.5000
Sn: 0.0000 0.0000 0.5000
Sn: 0.0000 0.5000 0.0000
Sn: 0.5000 0.0000 0.0000

# SrTaSn3

A relaxed structure of SrTaSn3 (PBE, Alexandria via LeMat-Bulk).

Computed properties:
polymorph energy (0 for the lowest one): 0.0 meV/atom
ρ: 6.560 g/cm3
size of the total moment: 0.00 μB/f.u.
calculated volume: 31.624 A^3/atom
DOS at the Fermi energy: 3.21 states/eV/cell
final energy: -0.18925 Ha/atom

Lattice parameters (Å, degrees): 5.4075 5.4075 5.4075 90.00 90.00 90.00
Element x y z (fractional)
Sr: 0.0000 0.0000 0.0000
Ta: 0.5000 0.5000 0.5000
Sn: 0.0000 0.5000 0.5000
Sn: 0.5000 0.0000 0.5000
Sn: 0.5000 0.5000 0.0000

# SrTa3Sn

A relaxed structure of SrTa3Sn (PBE, Alexandria via LeMat-Bulk).

Computed properties:
polymorph energy (0 for the lowest one): 0.0 meV/atom
ρ: 8.906 g/cm3
size of the total moment: 0.00 μB/f.u.
calculated volume: 27.939 A^3/atom
DOS at the Fermi energy: 10.86 states/eV/cell
final energy: -0.24181 Ha/atom

Lattice parameters (Å, degrees): 5.1887 5.1887 5.1887 90.00 90.00 90.00
Element x y z (fractional)
Sr: 0.0000 0.0000 0.0000
Ta: 0.0000 0.5000 0.5000
Ta: 0.5000 0.0000 0.5000
Ta: 0.5000 0.5000 0.0000
Sn: 0.5000 0.5000 0.5000

# SrTa3Sn

A relaxed structure of SrTa3Sn (PBE, Alexandria via LeMat-Bulk).

Computed properties:
polymorph energy (0 for the lowest one): 1039.1 meV/atom
ρ: 10.369 g/cm3
size of the total moment: 0.00 μB/f.u.
calculated volume: 23.994 A^3/atom
DOS at the Fermi energy: 4.85 states/eV/cell
final energy: -0.20362 Ha/atom

Lattice parameters (Å, degrees): 4.9320 4.9320 4.9320 90.00 90.00 90.00
Element x y z (fractional)
Sr: 0.0000 0.0000 0.0000
Ta: 0.0000 0.0000 0.5000
Ta: 0.0000 0.5000 0.0000
Ta: 0.5000 0.0000 0.0000
Sn: 0.5000 0.5000 0.5000

# Sr3TaSn

A relaxed structure of Sr3TaSn (PBE, Alexandria via LeMat-Bulk).

Computed properties:
polymorph energy (0 for the lowest one): 0.0 meV/atom
ρ: 3.870 g/cm3
size of the total moment: 4.95 μB/f.u.
calculated volume: 48.273 A^3/atom
DOS at the Fermi energy: 4.98 states/eV/cell
final energy: -0.11969 Ha/atom

Lattice parameters (Å, degrees): 6.2262 6.2262 6.2262 90.00 90.00 90.00
Element x y z (fractional)
Sr: 0.0000 0.0000 0.5000
Sr: 0.0000 0.5000 0.0000
Sr: 0.5000 0.0000 0.0000
Ta: 0.5000 0.5000 0.5000
Sn: 0.0000 0.0000 0.0000

# SrTaV2Sn

A relaxed structure of SrTaV2Sn (PBE, Alexandria via LeMat-Bulk).

Computed properties:
ρ: 7.121 g/cm3
size of the total moment: 3.04 μB/f.u.
calculated volume: 22.813 A^3/atom
DOS at the Fermi energy: 6.50 states/eV/cell
final energy: -0.17498 Ha/atom

Lattice parameters (Å, degrees): 4.5493 4.5493 5.5113 90.00 90.00 90.00
Element x y z (fractional)
Sr: 0.0000 0.0000 0.0000
Ta: 0.5000 0.5000 0.5000
V: 0.0000 0.5000 0.0000
V: 0.5000 0.0000 0.0000
Sn: 0.0000 0.0000 0.5000

# SrTb4Sn4

A relaxed structure of SrTb4Sn4 (PBE, Alexandria via LeMat-Bulk).

Computed properties:
ρ: 6.245 g/cm3
size of the total moment: 0.00 μB/f.u.
calculated volume: 35.397 A^3/atom
DOS at the Fermi energy: 8.45 states/eV/cell
final energy: -0.16689 Ha/atom

Lattice parameters (Å, degrees): 10.1746 10.1746 6.1547 90.00 90.00 90.00
Element x y z (fractional)
Sr: 0.2500 0.2500 0.2500
Sr: 0.7500 0.7500 0.7500
Tb: 0.1143 0.6338 0.1420
Tb: 0.1338 0.8857 0.6420
Tb: 0.3662 0.6143 0.6420
Tb: 0.3857 0.8662 0.1420
Tb: 0.6143 0.1338 0.8580
Tb: 0.6338 0.3857 0.3580
Tb: 0.8662 0.1143 0.3580
Tb: 0.8857 0.3662 0.8580
Sn: 0.0603 0.5884 0.6586
Sn: 0.0884 0.9397 0.1587
Sn: 0.4116 0.5603 0.1587
Sn: 0.4397 0.9116 0.6586
Sn: 0.5603 0.0884 0.3414
Sn: 0.5884 0.4397 0.8414
Sn: 0.9116 0.0603 0.8414
Sn: 0.9397 0.4116 0.3414

# SrTbSn2

A relaxed structure of SrTbSn2 (PBE, Alexandria via LeMat-Bulk).

Computed properties:
ρ: 6.813 g/cm3
size of the total moment: 0.00 μB/f.u.
calculated volume: 29.488 A^3/atom
DOS at the Fermi energy: 2.93 states/eV/cell
final energy: -0.15113 Ha/atom

Lattice parameters (Å, degrees): 5.1465 5.1465 4.4532 90.00 90.00 90.00
Element x y z (fractional)
Sr: 0.0000 0.0000 0.0000
Tb: 0.5000 0.5000 0.0000
Sn: 0.0000 0.5000 0.5000
Sn: 0.5000 0.0000 0.5000